Entry 1:
Dy5AgPt2: optimized geometry, PBE.

It has space group I4/mcm (No. 140), with a = 7.843 Å, b = 7.843 Å, c = 13.174 Å, α = 90.00°, β = 90.00° and γ = 90.00°. Symmetry generates all atoms from Dy at (0.000, 0.000, 0.000), Dy at (0.160, 0.340, 0.138), Ag at (0.000, 0.000, 0.250) and Pt at (0.136, 0.364, 0.500).

The value obtained for the total energy is -5.51 eV/atom. The value obtained for the density of states at the Fermi level is 0.96 states/eV per atom.



Entry 2:
Dy3Ag2Pt: optimized geometry, PBE.

It has space group C2/c (No. 15), with a = 13.391 Å, b = 5.985 Å, c = 7.941 Å, α = 90.00°, β = 106.92° and γ = 90.00°. Symmetry generates all atoms from Dy at (0.000, 0.017, 0.250), Dy at (0.150, 0.416, 0.582), Ag at (0.177, 0.091, 0.063) and Pt at (0.000, 0.491, 0.750).

As for the polymorph energy (0 for the lowest one): 146.4 meV per atom. The value obtained for the total energy is -4.75 eV/atom. The value obtained for the density of states at the Fermi level is 0.68 states/eV per atom.



Entry 3:
Dy5Ag4Pt: optimized geometry, PBE.

It has space group P4/mmm (No. 123), with a = 3.585 Å, b = 3.585 Å, c = 18.270 Å, α = 90.00°, β = 90.00° and γ = 90.00°. Symmetry generates all atoms from Dy at (0.000, 0.000, 0.000), Dy at (0.000, 0.000, 0.204), Dy at (0.000, 0.000, 0.409), Ag at (0.500, 0.500, 0.102), Ag at (0.500, 0.500, 0.304) and Pt at (0.500, 0.500, 0.500).

The value obtained for the total energy is -4.56 eV/atom. The value obtained for the density of states at the Fermi level is 0.46 states/eV per atom.



Entry 4:
Dy5Ag2Pt2: optimized geometry, PBE.

It has space group Cmce (No. 64), with a = 15.358 Å, b = 7.450 Å, c = 7.834 Å, α = 90.00°, β = 90.00° and γ = 90.00°. Symmetry generates all atoms from Dy at (0.000, 0.000, 0.000), Dy at (0.128, 0.170, 0.326), Ag at (0.210, 0.000, 0.000) and Pt at (0.000, 0.131, 0.634).

The value obtained for the total energy is -5.24 eV/atom. The value obtained for the density of states at the Fermi level is 0.81 states/eV per atom.



Entry 5:
Dy3Ag2Pt: optimized geometry, PBE.

It has space group P-3m1 (No. 164), with a = 5.0545 Å, b = 5.0545 Å, c = 6.2092 Å, α = 90.00°, β = 90.00° and γ = 120.00°. Symmetry generates all atoms from Dy at (0.0000, 0.0000, 0.0000), Dy at (0.3333, 0.6667, 0.6481), Ag at (0.3333, 0.6667, 0.1417) and Pt at (0.0000, 0.0000, 0.5000).

As for the polymorph energy (0 for the lowest one): 0.0 meV per atom. The value obtained for the total energy is -4.90 eV/atom. The value obtained for the density of states at the Fermi level is 0.60 states/eV per atom.



Entry 6:
DyAgPt: optimized geometry, PBE.

It has space group P6_3/mmc (No. 194), with a = 4.9884 Å, b = 4.9884 Å, c = 5.7319 Å, α = 90.00°, β = 90.00° and γ = 120.00°. Symmetry generates all atoms from Dy at (0.3333, 0.6667, 0.2500), Ag at (0.0000, 0.0000, 0.0000) and Pt at (0.3333, 0.6667, 0.7500).

As for the polymorph energy (0 for the lowest one): 0.0 meV per atom. The value obtained for the total energy is -5.31 eV/atom. The value obtained for the density of states at the Fermi level is 0.34 states/eV per atom.